[1]
Below is Ac4Sn3 after structural relaxation, with properties calculated at the PBE level.

The structure belongs to space group I-43d (No. 220); the cell edges are 10.2044, 10.2044 and 10.2044 Å and the angles 90.00°, 90.00° and 90.00°. Symmetry generates all atoms from Ac at (0.0685, 0.0685, 0.0685) and Sn at (0.0000, 0.2500, 0.3750).

As for the crystal system: cubic. Its formation energy is -697 meV per atom. The total energy is -4.760 eV/atom.


[2]
Below is Ac4Sn3 after structural relaxation, with properties calculated at the PBE level.

The structure belongs to space group C2/m (No. 12); the cell edges are 18.4722, 4.5791 and 6.6281 Å and the angles 90.00°, 98.71° and 90.00°. Symmetry generates all atoms from Ac at (0.0839, 0.0000, 0.3175), Ac at (0.1607, 0.5000, 0.8398), Sn at (0.0000, 0.5000, 0.0000) and Sn at (0.2269, 0.5000, 0.3524).

As for the crystal system: monoclinic. Its formation energy is -483 meV per atom. The total energy is -4.546 eV/atom.


[3]
Below is Ac5Sn after structural relaxation, with properties calculated at the PBE level.

The structure belongs to space group Cmmm (No. 65); the cell edges are 5.3493, 16.8567 and 5.3595 Å and the angles 90.00°, 90.00° and 90.00°. Symmetry generates all atoms from Ac at (0.0000, 0.0000, 0.0000), Ac at (0.0000, 0.1615, 0.5000), Ac at (0.0000, 0.3406, 0.0000) and Sn at (0.0000, 0.5000, 0.5000).

As for the crystal system: orthorhombic. Its formation energy is -193 meV per atom. The total energy is -4.284 eV/atom.


[4]
Below is Ac8Sn3 after structural relaxation, with properties calculated at the PBE level.

The structure belongs to space group R-3 (No. 148, hexagonal axes); the cell edges are 11.0863, 11.0863 and 13.8211 Å and the angles 90.00°, 90.00° and 120.00°. Symmetry generates all atoms from Ac at (0.0000, 0.0000, 0.1489), Ac at (0.0374, 0.2458, 0.6131) and Sn at (0.0000, 0.5000, 0.5000).

As for the crystal system: trigonal. Its formation energy is -178 meV per atom. The total energy is -4.258 eV/atom.


[5]
Below is AcSn4 after structural relaxation, with properties calculated at the PBE level.

The structure belongs to space group Imma (No. 74); the cell edges are 5.0423, 6.9642 and 16.8229 Å and the angles 90.00°, 90.00° and 90.00°. Symmetry generates all atoms from Ac at (0.0000, 0.2500, 0.1160), Sn at (0.0000, 0.0000, 0.5000), Sn at (0.0000, 0.0388, 0.6948) and Sn at (0.0000, 0.2500, 0.9044).

As for the crystal system: orthorhombic. Its formation energy is -375 meV per atom. The total energy is -4.399 eV/atom.


[6]
Below is AcSn3 after structural relaxation, with properties calculated at the PBE level.

The structure belongs to space group Fm-3m (No. 225); the cell edges are 7.9489, 7.9489 and 7.9489 Å and the angles 90.00°, 90.00° and 90.00°. Symmetry generates all atoms from Ac at (0.0000, 0.0000, 0.0000), Sn at (0.0000, 0.0000, 0.5000) and Sn at (0.2500, 0.2500, 0.2500).

As for the crystal system: cubic. Its formation energy is -240 meV per atom. The total energy is -4.269 eV/atom.